First-principles (PBE) data for a geometry-optimized HfTi5H4 structure, as listed in Alexandria via LeMat-Bulk.

a = 2.9281 Å, b = 5.8626 Å, c = 6.9205 Å
α = 102.27°, β = 102.21°, γ = 90.00°
Last column: nearest neighbours and their distance in Å.
Positions (direct):
1 H 0.3301 0.9175 0.6602  5 Ti 2.07-2.11, 1 Hf 2.24
2 Ti 0.1737 0.8251 0.3474  4 H 2.01-2.11
3 Ti 0.5000 0.5000 0.0000  4 H 2.02-2.03
4 Ti 0.8257 0.6555 0.6514  2 H 2.11
5 H 0.6699 0.0825 0.3398  5 Ti 2.07-2.11, 1 Hf 2.24
6 H 0.9785 0.2556 0.9570  3 Ti 2.01-2.03, 2 Hf 2.16
7 Hf 0.5000 0.0000 0.0000  6 H 2.16-2.24
8 Ti 0.1743 0.3445 0.3486  2 H 2.11
9 Ti 0.8263 0.1749 0.6526  4 H 2.01-2.11
10 H 0.0215 0.7444 0.0430  3 Ti 2.01-2.03, 2 Hf 2.16

Spin magnetization, μB per atom: 0.000
DOS(E_F), states/eV/atom: 0.897
Energy, eV/atom: -6.513